Record 1
! MnCd2Hg PBE relaxed; values from VASP
! Crystal system: tetragonal
! DFT formation energy: 187 meV/atom
! SG: No. 99
&SYSTEM
  ibrav = 0, nat = 4, ntyp = 3
/
ATOMIC_SPECIES
Mn 54.94 Mn.upf
Cd 112.41 Cd.upf
Hg 200.59 Hg.upf
CELL_PARAMETERS angstrom
-0.620 1.705 -2.606
2.080 -1.751 -1.641
-5.834 -5.101 -1.951
ATOMIC_POSITIONS crystal
Mn 0.500 0.500 0.749
Cd 0.500 0.500 0.248
Cd 0.000 0.000 0.978
Hg 0.000 0.000 0.524



Record 2
! Cu2Mo PBE relaxed; values from VASP
! Crystal system: tetragonal
! DFT formation energy: 276 meV/atom
! SG: No. 141
&SYSTEM
  ibrav = 0, nat = 6, ntyp = 2
/
ATOMIC_SPECIES
Cu 63.55 Cu.upf
Mo 95.94 Mo.upf
CELL_PARAMETERS angstrom
-1.281 1.281 12.674
1.281 -1.281 12.674
1.281 1.281 -12.674
ATOMIC_POSITIONS crystal
Cu 0.332 0.832 0.500
Cu 0.168 0.668 0.500
Mo 0.000 0.000 0.000
Cu 0.418 0.418 0.000
Mo 0.750 0.250 0.500
Cu 0.582 0.582 0.000



Record 3
! ZnCd3I PBE relaxed; values from VASP
! Crystal system: cubic
! Raw formation energy: 54.1 kJ/mol of atoms
! SG: No. 221
! Distance to the lowest polymorph of the same formula: 526 meV per atom
&SYSTEM
  ibrav = 0, nat = 5, ntyp = 3
/
ATOMIC_SPECIES
Cd 112.41 Cd.upf
I 126.90 I.upf
Zn 65.41 Zn.upf
CELL_PARAMETERS angstrom
-0.473 6.553 0.594
-6.560 -0.517 0.476
0.519 -0.557 6.553
ATOMIC_POSITIONS crystal
Cd 0.000 0.000 0.500
I 0.000 0.000 0.000
Zn 0.500 0.500 0.500
Cd 0.500 0.000 0.000
Cd 0.000 0.500 0.000



Record 4
! Cs2TcCl2 PBE relaxed; values from VASP
! Crystal system: tetragonal
! Raw formation energy: -17.7 kJ/mol of atoms
! SG: No. 127
&SYSTEM
  ibrav = 0, nat = 10, ntyp = 3
/
ATOMIC_SPECIES
Cs 132.91 Cs.upf
Tc 98.00 Tc.upf
Cl 35.45 Cl.upf
CELL_PARAMETERS angstrom
-3.605 4.271 -4.413
-6.123 -2.102 2.967
0.382 4.248 3.798
ATOMIC_POSITIONS crystal
Cs 0.173 0.673 0.500
Cs 0.827 0.327 0.500
Tc 0.000 0.000 0.000
Cl 0.321 0.821 0.000
Cl 0.179 0.321 0.000
Cl 0.679 0.179 0.000
Cs 0.673 0.827 0.500
Tc 0.500 0.500 0.000
Cs 0.327 0.173 0.500
Cl 0.821 0.679 0.000



Record 5
! Sc6Ag5Pb PBE relaxed; values from VASP
! Crystal system: orthorhombic
! DFT formation energy: -297 meV/atom
! SG: No. 65
&SYSTEM
  ibrav = 0, nat = 12, ntyp = 3
/
ATOMIC_SPECIES
Ag 107.87 Ag.upf
Sc 44.96 Sc.upf
Pb 207.20 Pb.upf
CELL_PARAMETERS angstrom
4.635 -0.027 1.545
0.037 7.004 0.012
-0.003 -0.014 7.737
ATOMIC_POSITIONS crystal
Ag 0.000 0.500 0.000
Sc 0.171 0.258 0.659
Sc 0.171 0.742 0.659
Sc 0.500 0.260 0.000
Sc 0.500 0.740 0.000
Sc 0.829 0.742 0.341
Ag 0.670 0.000 0.660
Sc 0.829 0.258 0.341
Ag 0.330 0.000 0.340
Pb 0.000 0.000 0.000
Ag 0.664 0.500 0.672
Ag 0.336 0.500 0.328



Record 6
! CaTaH PBE relaxed; values from VASP
! Crystal system: hexagonal
! SG: No. 187
! Distance to the lowest polymorph of the same formula: 1784 meV per atom
&SYSTEM
  ibrav = 0, nat = 3, ntyp = 3
/
ATOMIC_SPECIES
Ca 40.08 Ca.upf
H 1.01 H.upf
Ta 180.95 Ta.upf
CELL_PARAMETERS angstrom
4.454 -2.572 0.000
0.000 5.143 0.000
0.000 0.000 2.684
ATOMIC_POSITIONS crystal
Ca 0.000 0.000 0.000
H 0.667 0.333 0.500
Ta 0.333 0.667 0.000



Record 7
! TlPb12Au6 PBE relaxed; values from VASP
! Crystal system: cubic
! DFT formation energy: -6 meV/atom
! SG: No. 204
&SYSTEM
  ibrav = 0, nat = 19, ntyp = 3
/
ATOMIC_SPECIES
Au 196.97 Au.upf
Pb 207.20 Pb.upf
Tl 204.38 Tl.upf
CELL_PARAMETERS angstrom
-2.479 -8.520 0.113
8.189 0.654 -3.356
-0.072 3.211 8.272
ATOMIC_POSITIONS crystal
Au 0.500 0.864 0.364
Pb 0.712 0.530 0.818
Pb 0.818 0.712 0.530
Pb 0.288 0.106 0.818
Pb 0.182 0.712 0.894
Tl 0.000 0.000 0.000
Pb 0.288 0.470 0.182
Au 0.500 0.136 0.636
Au 0.864 0.364 0.500
Pb 0.712 0.894 0.182
Au 0.636 0.500 0.136
Pb 0.530 0.818 0.712
Pb 0.818 0.288 0.106
Pb 0.470 0.182 0.288
Au 0.364 0.500 0.864
Au 0.136 0.636 0.500
Pb 0.106 0.818 0.288
Pb 0.894 0.182 0.712
Pb 0.182 0.288 0.470



Record 8
! Pm4NdSm4 PBE relaxed; values from VASP
! Crystal system: tetragonal
! DFT formation energy: 13 meV/atom
! SG: No. 139
&SYSTEM
  ibrav = 0, nat = 9, ntyp = 3
/
ATOMIC_SPECIES
Pm 145.00 Pm.upf
Sm 150.36 Sm.upf
Nd 144.24 Nd.upf
CELL_PARAMETERS angstrom
-3.691 -3.378 -1.240
1.754 -7.139 3.512
-5.865 0.404 5.641
ATOMIC_POSITIONS crystal
Pm 0.333 0.667 0.667
Sm 0.333 0.000 0.334
Sm 0.667 0.666 0.000
Nd 0.000 0.000 0.000
Pm 0.667 0.333 0.333
Sm 0.333 0.334 0.000
Sm 0.667 0.000 0.666
Pm 0.000 0.667 0.333
Pm 0.000 0.333 0.667



Record 9
! Rb3Ce3InSe8 PBE relaxed; values from VASP
! Crystal system: trigonal
! Raw formation energy: -139.6 kJ/mol of atoms
! SG: No. 166
&SYSTEM
  ibrav = 0, nat = 15, ntyp = 4
/
ATOMIC_SPECIES
Se 78.96 Se.upf
Ce 140.12 Ce.upf
Rb 85.47 Rb.upf
In 114.82 In.upf
CELL_PARAMETERS angstrom
8.572 0.000 0.000
-4.286 7.423 -0.028
0.000 -4.919 8.135
ATOMIC_POSITIONS crystal
Se 0.733 0.465 0.698
Ce 0.500 0.000 0.500
Se 0.773 0.546 0.309
Se 0.263 0.036 0.309
Se 0.227 0.964 0.691
Se 0.267 0.535 0.302
Rb 0.500 0.500 0.000
Ce 0.000 0.500 0.500
Se 0.773 0.036 0.309
Se 0.227 0.454 0.691
Ce 0.500 0.500 0.500
In 0.000 0.000 0.500
Se 0.737 0.964 0.691
Rb 0.000 0.000 0.000
Rb 0.000 0.500 0.000



Record 10
! Ce6Si2Pb PBE relaxed; values from VASP
! Crystal system: orthorhombic
! Raw formation energy: -36.2 kJ/mol of atoms
! SG: No. 71
&SYSTEM
  ibrav = 0, nat = 18, ntyp = 3
/
ATOMIC_SPECIES
Ce 140.12 Ce.upf
Si 28.09 Si.upf
Pb 207.20 Pb.upf
CELL_PARAMETERS angstrom
8.080 0.216 -2.850
-4.552 6.979 -2.005
-0.214 -0.216 8.565
ATOMIC_POSITIONS crystal
Ce 0.715 0.026 0.312
Ce 0.076 0.281 0.795
Ce 0.285 0.597 0.312
Si 0.500 0.388 0.888
Ce 0.486 0.281 0.205
Ce 0.285 0.974 0.688
Ce 0.514 0.719 0.795
Ce 0.779 0.249 0.027
Si 0.500 0.612 0.112
Pb 0.000 0.000 0.000
Ce 0.924 0.719 0.205
Pb 0.000 0.500 0.500
Ce 0.779 0.751 0.530
Ce 0.715 0.403 0.688
Si 0.376 0.000 0.376
Ce 0.221 0.249 0.470
Si 0.624 0.000 0.624
Ce 0.221 0.751 0.973



Record 11
! SrHPt PBE relaxed; values from VASP
! Crystal system: hexagonal
! SG: No. 187
! Distance to the lowest polymorph of the same formula: 416 meV per atom
&SYSTEM
  ibrav = 0, nat = 3, ntyp = 3
/
ATOMIC_SPECIES
Pt 195.08 Pt.upf
H 1.01 H.upf
Sr 87.62 Sr.upf
CELL_PARAMETERS angstrom
4.237 0.000 0.000
0.000 3.862 0.000
0.000 -1.931 3.344
ATOMIC_POSITIONS crystal
Pt 0.167 0.000 0.000
H 0.167 0.667 0.333
Sr 0.667 0.333 0.667



Record 12
! Na3PPt PBE relaxed; values from VASP
! Crystal system: monoclinic
! DFT formation energy: -238 meV/atom
! SG: No. 12
! Distance to the lowest polymorph of the same formula: 0 meV per atom
&SYSTEM
  ibrav = 0, nat = 10, ntyp = 3
/
ATOMIC_SPECIES
P 30.97 P.upf
Na 22.99 Na.upf
Pt 195.08 Pt.upf
CELL_PARAMETERS angstrom
0.443 -4.223 5.354
6.652 0.017 -1.564
-2.292 6.542 0.681
ATOMIC_POSITIONS crystal
P 0.395 0.211 0.606
Na 0.223 0.394 0.234
Na 0.777 0.606 0.766
Na 0.268 0.552 0.820
Na 0.840 0.011 0.234
Pt 0.298 0.928 0.226
P 0.605 0.789 0.394
Na 0.160 0.989 0.766
Na 0.732 0.448 0.180
Pt 0.702 0.072 0.774



Record 13
! InFeOs2 PBE relaxed; values from VASP
! Crystal system: orthorhombic
! DFT formation energy: 564 meV/atom
! SG: No. 47
&SYSTEM
  ibrav = 0, nat = 4, ntyp = 3
/
ATOMIC_SPECIES
In 114.82 In.upf
Fe 55.84 Fe.upf
Os 190.23 Os.upf
CELL_PARAMETERS angstrom
-2.429 0.478 1.562
-2.580 -0.909 -3.733
-0.121 -4.379 1.150
ATOMIC_POSITIONS crystal
In 0.000 0.500 0.500
Fe 0.500 0.000 0.500
Os 0.500 0.500 0.000
Os 0.000 0.000 0.000



Record 14
! ReSbMo2 PBE relaxed; values from VASP
! Crystal system: trigonal
! Raw formation energy: 44.6 kJ/mol of atoms
! SG: No. 160
&SYSTEM
  ibrav = 0, nat = 4, ntyp = 3
/
ATOMIC_SPECIES
Re 186.21 Re.upf
Mo 95.94 Mo.upf
Sb 121.76 Sb.upf
CELL_PARAMETERS angstrom
-5.794 -5.058 4.575
-4.663 -7.137 2.720
-3.231 -6.465 5.277
ATOMIC_POSITIONS crystal
Re 0.505 0.505 0.505
Mo 0.996 0.996 0.996
Mo 0.250 0.250 0.250
Sb 0.750 0.750 0.750



Record 15
! B2C PBE relaxed; values from VASP
! Crystal system: monoclinic
! DFT formation energy: 388 meV/atom
! SG: No. 6
! Distance to the lowest polymorph of the same formula: 202 meV per atom
&SYSTEM
  ibrav = 0, nat = 12, ntyp = 2
/
ATOMIC_SPECIES
B 10.81 B.upf
C 12.01 C.upf
CELL_PARAMETERS angstrom
2.692 0.000 0.000
0.000 4.902 0.210
0.000 0.348 8.046
ATOMIC_POSITIONS crystal
B 0.500 0.144 0.677
B 0.000 0.918 0.911
C 0.500 0.865 0.379
B 0.500 0.539 0.357
B 0.000 0.757 0.672
C 0.000 0.368 0.368
C 0.000 0.628 0.862
B 0.500 0.471 0.886
B 0.500 0.140 0.898
B 0.000 0.296 0.556
C 0.500 0.844 0.580
B 0.000 0.032 0.353



Record 16
! YSc2Hg PBE relaxed; values from VASP
! Crystal system: tetragonal
! DFT formation energy: -189 meV/atom
! SG: No. 123
&SYSTEM
  ibrav = 0, nat = 4, ntyp = 3
/
ATOMIC_SPECIES
Sc 44.96 Sc.upf
Hg 200.59 Hg.upf
Y 88.91 Y.upf
CELL_PARAMETERS angstrom
3.425 0.000 0.000
0.000 3.425 0.000
0.000 0.000 8.599
ATOMIC_POSITIONS crystal
Sc 0.000 0.000 0.532
Hg 0.500 0.500 0.750
Y 0.500 0.500 0.250
Sc 0.000 0.000 0.968



Record 17
! Ni2HgRh PBE relaxed; values from VASP
! Crystal system: tetragonal
! DFT formation energy: 177 meV/atom
! SG: No. 99
&SYSTEM
  ibrav = 0, nat = 4, ntyp = 3
/
ATOMIC_SPECIES
Rh 102.91 Rh.upf
Hg 200.59 Hg.upf
Ni 58.69 Ni.upf
CELL_PARAMETERS angstrom
2.999 0.088 0.000
-0.088 2.999 0.000
0.000 0.000 6.371
ATOMIC_POSITIONS crystal
Rh 0.000 0.000 0.455
Hg 0.500 0.500 0.766
Ni 0.500 0.500 0.237
Ni 0.000 0.000 0.042



Record 18
! InGaCl PBE relaxed; values from VASP
! Crystal system: orthorhombic
! Raw formation energy: -38.7 kJ/mol of atoms
! SG: No. 24
! Distance to the lowest polymorph of the same formula: 13 meV per atom
&SYSTEM
  ibrav = 0, nat = 12, ntyp = 3
/
ATOMIC_SPECIES
Ga 69.72 Ga.upf
In 114.82 In.upf
Cl 35.45 Cl.upf
CELL_PARAMETERS angstrom
5.801 0.000 -0.018
0.000 7.657 0.000
-5.783 0.000 6.881
ATOMIC_POSITIONS crystal
Ga 0.000 0.336 0.000
Ga 0.000 0.836 0.500
In 0.501 0.085 0.751
Ga 0.500 0.334 0.500
In 0.501 0.585 0.251
Cl 0.117 0.335 0.750
In 0.499 0.585 0.749
Cl 0.883 0.835 0.750
Ga 0.500 0.834 0.000
Cl 0.883 0.335 0.250
In 0.499 0.085 0.249
Cl 0.117 0.835 0.250